Material: VClF3
Method: DFT, PBE with a Hubbard U
State: relaxed

Summary:
The energy relative to the lowest polymorph listed for this composition comes out at 168 meV per atom. Its space group is R-3m, No. 166. As for the density of states at the Fermi level: 12.8 states/eV/cell.

Unit cell a=6.5627 b=6.5627 c=6.5627 alpha=66.37 beta=66.37 gamma=66.37
Last column: nearest neighbours and their distance in Å.
Sites, in units of the cell vectors:
V (0.1431, 0.1431, 0.1431)  3 F 1.77
V (0.8569, 0.8569, 0.8569)  3 F 1.77
Cl (0.2845, 0.2845, 0.2845)  1 V 2.16
Cl (0.7155, 0.7155, 0.7155)  1 V 2.16
F (0.1638, 0.7620, 0.7620)  1 V 1.77
F (0.2380, 0.2380, 0.8362)  1 V 1.77
F (0.2380, 0.8362, 0.2380)  1 V 1.77
F (0.7620, 0.1638, 0.7620)  1 V 1.77
F (0.7620, 0.7620, 0.1638)  1 V 1.77
F (0.8362, 0.2380, 0.2380)  1 V 1.77